Material: KMgCd2Hg4
Method: DFT, GGA-PBE
State: optimized geometry

Unit cell a=4.9701 b=4.9701 c=10.6011 alpha=76.44 beta=76.44 gamma=60.00
Last column: nearest neighbours and their distance in Å.
Positions (direct):
1 Hg 0.6029 0.6029 0.1914  3 Cd 3.02, 1 Mg 3.15
2 Hg 0.3971 0.3971 0.8086  3 Cd 3.02, 1 Mg 3.15
3 Hg 0.8670 0.8670 0.3989  3 Mg 3.05, 4 Cd 3.10-3.23
4 Hg 0.1330 0.1330 0.6011  3 Mg 3.05, 4 Cd 3.10-3.23
5 K 0.0000 0.0000 0.0000  6 Hg 3.47
6 Cd 0.2383 0.2383 0.2851  7 Hg 3.02-3.23
7 Cd 0.7617 0.7617 0.7149  7 Hg 3.02-3.23
8 Mg 0.5000 0.5000 0.5000  8 Hg 3.05-3.15

ΔH_f (0 K)	-0.123	eV/atom
magnetic moment	0.0	μB per formula unit
volume	27.29	Å³/atom